(1)
Below is crystalline Cu3TePb at its relaxed geometry, with properties calculated at the PBE-GGA level.

Values from the calculation:
- total magnetization (Bohr magnetons per cell) = 0.0
- E_tot (eV per atom) = -3.22
- SG = No. 221
- excess energy over the best structure of this formula in the dataset (meV/atom) = 0
- theoretical density (kg/m3) = 7237

```
5
Lattice="4.9402 0.0000 0.0000 0.0000 4.9402 0.0000 0.0000 0.0000 4.9402" Properties=species:S:1:pos:R:3 pbc="T T T"
Cu 0.0000 0.0000 2.4701
Cu 0.0000 2.4701 0.0000
Cu 2.4701 0.0000 0.0000
Te 0.0000 0.0000 0.0000
Pb 2.4701 2.4701 2.4701
```

(2)
Below is crystalline CuTePb2 at its relaxed geometry, with properties calculated at the PBE-GGA level.

Values from the calculation:
- total magnetization (Bohr magnetons per cell) = 0.0
- E_tot (eV per atom) = -3.43
- SG = No. 119
- theoretical density (kg/m3) = 9064

```
4
Lattice="-2.2484 2.2484 5.4861 2.2484 -2.2484 5.4861 2.2484 2.2484 -5.4861" Properties=species:S:1:pos:R:3 pbc="T T T"
Cu 0.0000 0.0000 0.0000
Te 0.0000 2.2484 2.7430
Pb 2.2484 0.0000 2.7430
Pb 0.0000 0.0000 5.4861
```

(3)
Below is crystalline CuTePb2 at its relaxed geometry, with properties calculated at the PBE-GGA level.

Values from the calculation:
- total magnetization (Bohr magnetons per cell) = 0.0
- E_tot (eV per atom) = -3.57
- SG = No. 71
- theoretical density (kg/m3) = 8976

```
4
Lattice="-1.8676 1.9605 7.6490 1.8676 -1.9605 7.6490 1.8676 1.9605 -7.6490" Properties=species:S:1:pos:R:3 pbc="T T T"
Cu 0.0000 0.0000 0.0000
Te 0.0000 0.0000 7.6490
Pb 1.8676 0.0000 2.6844
Pb 0.0000 1.9605 4.9646
```

(4)
Below is crystalline V2CuTePb at its relaxed geometry, with properties calculated at the PBE-GGA level.

Values from the calculation:
- total magnetization (Bohr magnetons per cell) = 6.3
- E_tot (eV per atom) = -4.98
- SG = No. 123
- theoretical density (kg/m3) = 7036

```
5
Lattice="4.9162 0.0000 0.0000 0.0000 4.9162 0.0000 0.0000 0.0000 4.8845" Properties=species:S:1:pos:R:3 pbc="T T T"
V 0.0000 2.4581 0.0000
V 2.4581 0.0000 0.0000
Cu 0.0000 0.0000 0.0000
Te 2.4581 2.4581 2.4422
Pb 0.0000 0.0000 2.4422
```

(5)
Below is crystalline YCuTe3Pb at its relaxed geometry, with properties calculated at the PBE-GGA level.

Values from the calculation:
- total magnetization (Bohr magnetons per cell) = 0.0
- E_tot (eV per atom) = -4.67
- SG = No. 11
- theoretical density (kg/m3) = 6669

```
12
Lattice="9.1863 0.0000 0.0000 0.0000 4.3027 0.0000 -2.4170 0.0000 9.3547" Properties=species:S:1:pos:R:3 pbc="T T T"
Y 1.2070 1.0757 1.5635
Y 5.5623 3.2270 7.7912
Cu 2.8865 3.2270 3.9880
Cu 3.8828 1.0757 5.3667
Te -1.4089 1.0757 7.7996
Te 1.3354 1.0757 4.5950
Te 3.3819 3.2270 1.2825
Te 3.3875 1.0757 8.0722
Te 5.4339 3.2270 4.7597
Te 8.1783 3.2270 1.5551
Pb 1.0491 3.2270 7.1138
Pb 5.7203 1.0757 2.2409
```

(6)
Below is crystalline ZrCuTe5Pb2 at its relaxed geometry, with properties calculated at the PBE-GGA level.

Values from the calculation:
- total magnetization (Bohr magnetons per cell) = 0.0
- E_tot (eV per atom) = -4.41
- SG = No. 36
- theoretical density (kg/m3) = 7097

```
18
Lattice="2.0718 -9.6588 0.0000 2.0718 9.6588 0.0000 0.0000 0.0000 14.1146" Properties=species:S:1:pos:R:3 pbc="T T T"
Zr 2.0718 5.8229 7.0573
Zr 2.0718 -5.8229 0.0000
Cu 2.0718 1.6000 13.1664
Cu 2.0718 -1.6000 6.1091
Te 2.0718 8.6925 7.5290
Te 2.0718 4.2666 2.0666
Te 2.0718 3.9105 12.0651
Te 2.0718 2.8995 6.5061
Te 2.0718 0.4368 10.8220
Te 2.0718 -0.4368 3.7647
Te 2.0718 -2.8995 13.5634
Te 2.0718 -3.9105 5.0078
Te 2.0718 -4.2666 9.1239
Te 2.0718 -8.6925 0.4717
Pb 2.0718 7.7925 10.7174
Pb 2.0718 7.4377 1.6646
Pb 2.0718 -7.4377 8.7219
Pb 2.0718 -7.7925 3.6601
```

(7)
Below is crystalline ZrCu2TePb at its relaxed geometry, with properties calculated at the PBE-GGA level.

Values from the calculation:
- total magnetization (Bohr magnetons per cell) = 0.0
- E_tot (eV per atom) = -4.24
- SG = No. 123
- theoretical density (kg/m3) = 7210

```
5
Lattice="4.7892 0.0000 0.0000 0.0000 4.7892 0.0000 0.0000 0.0000 5.5543" Properties=species:S:1:pos:R:3 pbc="T T T"
Zr 0.0000 0.0000 0.0000
Cu 0.0000 2.3946 2.7772
Cu 2.3946 0.0000 2.7772
Te 0.0000 0.0000 2.7772
Pb 2.3946 2.3946 0.0000
```

(8)
Below is crystalline Th4CuPb at its relaxed geometry, with properties calculated at the PBE-GGA level.

Values from the calculation:
- total magnetization (Bohr magnetons per cell) = 0.0
- E_tot (eV per atom) = -6.27
- SG = No. 140
- E_form (eV/atom) = -0.023
- theoretical density (kg/m3) = 11192

```
12
Lattice="-3.7331 3.7331 6.3820 3.7331 -3.7331 6.3820 3.7331 3.7331 -6.3820" Properties=species:S:1:pos:R:3 pbc="T T T"
Th 4.8933 1.1602 -1.8017
Th 1.1602 2.5729 -1.8017
Th 4.8933 1.1602 1.8017
Th 1.1602 2.5729 1.8017
Th 2.5729 1.1602 4.5803
Th -1.1602 2.5729 4.5803
Th 2.5729 1.1602 8.1837
Th -1.1602 2.5729 8.1837
Cu 0.0000 0.0000 3.1910
Cu 0.0000 0.0000 9.5730
Pb 0.0000 0.0000 0.0000
Pb 0.0000 0.0000 6.3820
```

(9)
Below is crystalline ThCuPb2 at its relaxed geometry, with properties calculated at the PBE-GGA level.

Values from the calculation:
- total magnetization (Bohr magnetons per cell) = 0.0
- E_tot (eV per atom) = -4.45
- SG = No. 166
- excess energy over the best structure of this formula in the dataset (meV/atom) = 370
- E_form (eV/atom) = 0.286
- theoretical density (kg/m3) = 10613

```
4
Lattice="1.7273 0.9972 10.7488 -1.7273 0.9972 10.7488 0.0000 -1.9945 10.7488" Properties=species:S:1:pos:R:3 pbc="T T T"
Th 0.0000 0.0000 0.0000
Cu 0.0000 0.0000 16.1232
Pb 0.0000 0.0000 3.3484
Pb 0.0000 0.0000 28.8980
```

(10)
Below is crystalline ThCuPb2 at its relaxed geometry, with properties calculated at the PBE-GGA level.

Values from the calculation:
- total magnetization (Bohr magnetons per cell) = 0.0
- E_tot (eV per atom) = -4.82
- SG = No. 123
- excess energy over the best structure of this formula in the dataset (meV/atom) = 0
- E_form (eV/atom) = -0.084
- theoretical density (kg/m3) = 11373

```
4
Lattice="4.7220 0.0000 0.0000 0.0000 4.7220 0.0000 0.0000 0.0000 4.6493" Properties=species:S:1:pos:R:3 pbc="T T T"
Th 0.0000 0.0000 0.0000
Cu 2.3610 2.3610 0.0000
Pb 0.0000 2.3610 2.3247
Pb 2.3610 0.0000 2.3247
```

(11)
Below is crystalline ThZnCuPb at its relaxed geometry, with properties calculated at the PBE-GGA level.

Values from the calculation:
- total magnetization (Bohr magnetons per cell) = 0.0
- E_tot (eV per atom) = -4.20
- SG = No. 216
- E_form (eV/atom) = -0.072
- theoretical density (kg/m3) = 10680

```
4
Lattice="0.0000 3.5350 3.5350 3.5350 0.0000 3.5350 3.5350 3.5350 0.0000" Properties=species:S:1:pos:R:3 pbc="T T T"
Th 0.0000 0.0000 0.0000
Zn 5.3025 5.3025 5.3025
Cu 1.7675 1.7675 1.7675
Pb 3.5350 3.5350 3.5350
```

(12)
Below is crystalline Ti2CuPb2 at its relaxed geometry, with properties calculated at the PBE-GGA level.

Values from the calculation:
- total magnetization (Bohr magnetons per cell) = 0.0
- E_tot (eV per atom) = -5.16
- SG = No. 127
- excess energy over the best structure of this formula in the dataset (meV/atom) = 129
- E_form (eV/atom) = 0.305
- theoretical density (kg/m3) = 9098

```
10
Lattice="7.1518 0.0000 0.0000 0.0000 7.1518 0.0000 0.0000 0.0000 4.0941" Properties=species:S:1:pos:R:3 pbc="T T T"
Ti 1.0095 2.5664 0.0000
Ti 2.5664 6.1423 0.0000
Ti 4.5855 1.0095 0.0000
Ti 6.1423 4.5855 0.0000
Cu 0.0000 0.0000 2.0470
Cu 3.5759 3.5759 2.0470
Pb 1.1394 4.7153 2.0470
Pb 2.4365 1.1394 2.0470
Pb 4.7153 6.0125 2.0470
Pb 6.0125 2.4365 2.0470
```